The following is a GGA-PBE calculation of a relaxed Cd2Ge crystal, from OQMD via LeMat-Bulk.

E_tot   -1.88 eV/atom

abc: 5.784 5.784 5.784
angles: 60.00 60.00 60.00
Fractional positions:
1 Cd 0.625 0.625 0.125
2 Cd 0.625 0.125 0.625
3 Cd 0.125 0.625 0.625
4 Cd 0.625 0.625 0.625
5 Ge 0.000 0.000 0.000
6 Ge 0.250 0.250 0.250